No. 1
Co2SiGe: relaxed, PBE.

Geometry as POSCAR:
```
Co2SiGe
1.0
-5.588 -0.874 2.857
-1.530 -4.367 -4.329
-2.493 -4.493 0.776
Si Co Ge
2 4 2
direct
0.250 0.750 0.500
0.500 0.500 0.000
0.163 0.625 0.250
0.587 0.125 0.250
0.375 0.413 0.750
0.875 0.837 0.750
0.000 0.000 0.000
0.750 0.250 0.500
```

The calculation puts the uncorrected formation energy at 0.17 eV/atom. The value obtained for the excess energy over the best structure of this formula in the dataset is 562 meV per atom. The value obtained for the magnetic moment is 0.00 μB/f.u. As for the uncorrected energy: -47.13 eV/cell.

=====

No. 2
Co2SiGe: relaxed, PBE.

Geometry as POSCAR:
```
Co2SiGe
1.0
4.839 0.000 0.000
0.000 4.474 -0.072
0.000 -0.818 8.972
Si Co Ge
4 8 4
direct
0.345 0.025 0.880
0.655 0.525 0.380
0.345 0.475 0.620
0.655 0.975 0.120
0.842 0.044 0.892
0.842 0.456 0.608
0.829 0.477 0.142
0.158 0.956 0.108
0.158 0.544 0.392
0.171 0.523 0.858
0.171 0.977 0.642
0.829 0.023 0.358
0.327 0.029 0.370
0.327 0.471 0.130
0.673 0.529 0.870
0.673 0.971 0.630
```

The calculation puts the uncorrected formation energy at -0.23 eV/atom. The value obtained for the excess energy over the best structure of this formula in the dataset is 156 meV per atom. The value obtained for the magnetic moment is 0.72 μB/f.u. As for the uncorrected energy: -100.76 eV/cell.

=====

No. 3
Co2SiGe: relaxed, PBE.

Geometry as POSCAR:
```
Co2SiGe
1.0
-0.601 1.418 4.259
0.999 -4.146 1.521
4.401 1.098 0.255
Co Ge Si
4 2 2
direct
0.859 0.864 0.884
0.359 0.136 0.116
0.139 0.646 0.397
0.639 0.354 0.603
0.343 0.660 0.906
0.843 0.340 0.094
0.159 0.156 0.587
0.659 0.844 0.413
```

The calculation puts the uncorrected formation energy at -0.39 eV/atom. The value obtained for the excess energy over the best structure of this formula in the dataset is 0 meV per atom. The value obtained for the magnetic moment is 0.00 μB/f.u. As for the uncorrected energy: -51.63 eV/cell.

=====

No. 4
CoSi3Ge: relaxed, PBE.

Geometry as POSCAR:
```
CoSi3Ge
1.0
-0.738 -2.275 3.666
3.513 -2.475 -0.829
2.504 2.803 2.243
Si Co Ge
3 1 1
direct
0.000 0.000 0.500
0.000 0.500 0.000
0.500 0.000 0.000
0.000 0.000 0.000
0.500 0.500 0.500
```

The calculation puts the uncorrected formation energy at 0.39 eV/atom. The value obtained for the excess energy over the best structure of this formula in the dataset is 0 meV per atom. The value obtained for the magnetic moment is 0.00 μB/f.u. As for the uncorrected energy: -26.07 eV/cell.

=====

No. 5
Co3SiGe: relaxed, PBE.

Geometry as POSCAR:
```
Co3SiGe
1.0
-2.540 1.922 -2.862
-3.328 -0.438 2.659
0.901 3.801 1.754
Ge Co Si
1 3 1
direct
0.000 0.000 0.000
0.000 0.500 0.000
0.500 0.000 0.000
0.000 0.000 0.500
0.500 0.500 0.500
```

The calculation puts the uncorrected formation energy at 0.93 eV/atom. The value obtained for the excess energy over the best structure of this formula in the dataset is 1074 meV per atom. The value obtained for the magnetic moment is 3.25 μB/f.u. As for the uncorrected energy: -26.70 eV/cell.

=====

No. 6
Co2SiGe2: relaxed, PBE.

Geometry as POSCAR:
```
Co2SiGe2
1.0
6.999 0.000 0.000
0.000 6.999 0.000
0.000 0.000 2.692
Ge Co Si
4 4 2
direct
0.845 0.345 0.500
0.655 0.845 0.500
0.345 0.155 0.500
0.155 0.655 0.500
0.142 0.358 0.000
0.358 0.858 0.000
0.858 0.642 0.000
0.642 0.142 0.000
0.000 0.000 0.000
0.500 0.500 0.000
```

The calculation puts the uncorrected formation energy at 0.03 eV/atom. The value obtained for the magnetic moment is 0.00 μB/f.u. As for the uncorrected energy: -57.41 eV/cell.

=====

No. 7
Co3Si2Ge: relaxed, PBE.

Geometry as POSCAR:
```
Co3Si2Ge
1.0
-1.559 -1.955 -2.751
4.052 -2.763 -0.333
-3.645 -1.336 3.015
Si Ge Co
2 1 3
direct
0.500 0.667 0.333
0.500 0.333 0.667
0.000 0.000 0.000
0.000 0.500 0.500
0.000 0.500 0.000
0.000 0.000 0.500
```

The calculation puts the uncorrected formation energy at -0.39 eV/atom. The value obtained for the magnetic moment is 0.00 μB/f.u. As for the uncorrected energy: -39.13 eV/cell.

=====

No. 8
Co3SiGe: relaxed, PBE.

Geometry as POSCAR:
```
Co3SiGe
1.0
-0.528 -3.298 -2.521
2.188 -2.381 2.656
-3.527 -0.983 2.025
Co Ge Si
3 1 1
direct
0.000 0.000 0.500
0.500 0.000 0.000
0.000 0.500 0.000
0.500 0.500 0.500
0.000 0.000 0.000
```

The calculation puts the uncorrected formation energy at 0.56 eV/atom. The value obtained for the excess energy over the best structure of this formula in the dataset is 707 meV per atom. The value obtained for the magnetic moment is 3.06 μB/f.u. As for the uncorrected energy: -28.54 eV/cell.